Density functional theory data (PBE) for SiTeRh2 after structural relaxation.

a = 5.2590 Å, b = 5.2590 Å, c = 5.2590 Å
α = 137.67°, β = 137.67°, γ = 61.41°
Closest atoms and distances in Å follow each position.
Fractional positions:
Si 0.0000 0.0000 0.0000  8 Rh 2.69-2.95, 4 Te 2.95
Te 0.2500 0.7500 0.5000  8 Rh 2.69-2.95, 4 Si 2.95
Rh 0.5000 0.5000 0.0000  4 Si 2.69, 4 Te 2.95, 4 Rh 2.95
Rh 0.7500 0.2500 0.5000  4 Te 2.69, 4 Rh 2.95, 4 Si 2.95

## Properties
formation energy (no corrections) = -23.5 meV/atom
relative energy among the computed polymorphs = 390.3 meV per atom
symmetry = I-4m2, No. 119
final energy = -0.2146 hartree per atom